[1]
Compound: KRb2GaAu2
Source: Alexandria via LeMat-Bulk
Functional: PBE-GGA
Structure: optimized geometry

abc: 4.8489 9.1995 9.6599
angles: 90.00 90.00 90.00
Space group Pmc2_1 (No. 26)
Asymmetric unit:
K (0.0000, 0.0374, 0.0000) [2 per cell]
Rb (0.0000, 0.3203, 0.6297) [2 per cell]
Rb (0.5000, 0.3965, 0.9616) [2 per cell]
Ga (0.5000, 0.2242, 0.3039) [2 per cell]
Au (0.0000, 0.3078, 0.2621) [2 per cell]
Au (0.5000, 0.0564, 0.7488) [2 per cell]

Computed properties:
spin magnetization	0.00	Bohr magnetons per cell
electronic total energy	-27.71	eV for the cell shown
ΔE_f	-0.207	eV/atom
calculated density	5.192	g/cm3
D(E_F)	6.90	states/eV per cell


[2]
Compound: K3Rb2Ga2Au4
Source: Alexandria via LeMat-Bulk
Functional: PBE-GGA
Structure: optimized geometry

abc: 5.2400 5.2400 27.1340
angles: 90.00 90.00 90.00
Space group I4/mmm (No. 139)
Asymmetric unit:
K (0.0000, 0.0000, 0.0000) [2 per cell]
K (0.0000, 0.0000, 0.1464) [4 per cell]
Rb (0.0000, 0.0000, 0.3191) [4 per cell]
Ga (0.0000, 0.0000, 0.4501) [4 per cell]
Au (0.0000, 0.5000, 0.0760) [8 per cell]

Computed properties:
spin magnetization	0.00	Bohr magnetons per cell
electronic total energy	-53.11	eV for the cell shown
ΔE_f	-0.197	eV/atom
calculated density	5.418	g/cm3
D(E_F)	6.59	states/eV per cell


[3]
Compound: KGaSbAu3
Source: Alexandria via LeMat-Bulk
Functional: PBE-GGA
Structure: optimized geometry

abc: 6.8936 12.7313 7.8366
angles: 90.00 90.00 90.00
Space group Cmcm (No. 63)
Asymmetric unit:
K (0.0000, 0.2235, 0.2500) [4 per cell]
Ga (0.0000, 0.0827, 0.7500) [4 per cell]
Sb (0.0000, 0.4886, 0.7500) [4 per cell]
Au (0.0000, 0.2783, 0.7500) [4 per cell]
Au (0.2056, 0.0000, 0.0000) [8 per cell]

Computed properties:
spin magnetization	0.00	Bohr magnetons per cell
electronic total energy	-77.96	eV for the cell shown
calculated density	7.933	g/cm3
D(E_F)	6.83	states/eV per cell
raw formation energy	-0.24	eV/atom


[4]
Compound: K2Ga4SbAu3
Source: Alexandria via LeMat-Bulk
Functional: PBE-GGA
Structure: optimized geometry

abc: 4.6899 4.6899 10.9793
angles: 90.00 90.00 90.00
Space group P-4m2 (No. 115)
Asymmetric unit:
K (0.0000, 0.5000, 0.2445) [2 per cell]
Ga (0.0000, 0.0000, 0.0000) [1 per cell]
Ga (0.0000, 0.5000, 0.6441) [2 per cell]
Ga (0.5000, 0.5000, 0.0000) [1 per cell]
Sb (0.0000, 0.0000, 0.5000) [1 per cell]
Au (0.0000, 0.5000, 0.8824) [2 per cell]
Au (0.5000, 0.5000, 0.5000) [1 per cell]

Computed properties:
spin magnetization	0.00	Bohr magnetons per cell
electronic total energy	-31.07	eV for the cell shown
calculated density	7.356	g/cm3
D(E_F)	4.34	states/eV per cell
raw formation energy	-0.28	eV/atom


[5]
Compound: K2GaSb4Au3
Source: Alexandria via LeMat-Bulk
Functional: PBE-GGA
Structure: optimized geometry

abc: 4.8894 4.8894 11.4119
angles: 90.00 90.00 90.00
Space group P-4m2 (No. 115)
Asymmetric unit:
K (0.0000, 0.5000, 0.2443) [2 per cell]
Ga (0.5000, 0.5000, 0.0000) [1 per cell]
Sb (0.0000, 0.0000, 0.5000) [1 per cell]
Sb (0.0000, 0.5000, 0.8715) [2 per cell]
Sb (0.5000, 0.5000, 0.5000) [1 per cell]
Au (0.0000, 0.0000, 0.0000) [1 per cell]
Au (0.0000, 0.5000, 0.6309) [2 per cell]

Computed properties:
spin magnetization	0.00	Bohr magnetons per cell
electronic total energy	-34.42	eV for the cell shown
calculated density	7.461	g/cm3
D(E_F)	4.69	states/eV per cell
raw formation energy	-0.29	eV/atom


[6]
Compound: KGaSiAu2
Source: Alexandria via LeMat-Bulk
Functional: PBE-GGA
Structure: optimized geometry

abc: 4.9579 4.9579 5.0469
angles: 90.00 90.00 90.00
Space group P4/mmm (No. 123)
Asymmetric unit:
K (0.0000, 0.0000, 0.0000) [1 per cell]
Ga (0.5000, 0.5000, 0.0000) [1 per cell]
Si (0.5000, 0.5000, 0.5000) [1 per cell]
Au (0.0000, 0.5000, 0.5000) [2 per cell]

Computed properties:
spin magnetization	0.00	Bohr magnetons per cell
electronic total energy	-16.40	eV for the cell shown
calculated density	7.105	g/cm3
D(E_F)	2.64	states/eV per cell
raw formation energy	-0.06	eV/atom